! MgTc2Pb, optimized geometry, DFT PBE-GGA; values from VASP
&SYSTEM
  ibrav = 0, nat = 4, ntyp = 3
/
ATOMIC_SPECIES
Tc 98.00 Tc.upf
Pb 207.20 Pb.upf
Mg 24.30 Mg.upf
ATOMIC_POSITIONS angstrom
Tc 1.539 1.408 1.756
Tc 0.000 2.907 0.360
Pb 1.539 3.030 6.485
Mg 0.000 3.018 3.555
CELL_PARAMETERS angstrom
3.078 0.000 0.000
0.000 3.089 -0.104
0.000 1.759 8.277
! * DOS(E_F): 1.12 states/eV/f.u.
! * density: 9.0 g/cm3
! * polymorph energy (0 for the lowest one): 0 meV/atom
! * space-group type: No. 6
! * uncorrected energy: -25.5 eV/cell
! * ΔE_f: 122 meV/atom

=====

! TeH2RhCl, optimized geometry, DFT PBE-GGA; values from VASP
&SYSTEM
  ibrav = 0, nat = 5, ntyp = 4
/
ATOMIC_SPECIES
Rh 102.91 Rh.upf
H 1.01 H.upf
Te 127.60 Te.upf
Cl 35.45 Cl.upf
ATOMIC_POSITIONS angstrom
Rh 3.215 -2.359 -2.702
H 1.663 0.097 0.691
H -0.027 -1.776 0.314
Te 1.580 -0.680 -3.707
Cl 0.000 0.000 0.000
CELL_PARAMETERS angstrom
-0.055 -3.551 0.628
3.159 -1.360 -7.415
3.326 0.193 1.382
! * DOS(E_F): 3.44 states/eV/f.u.
! * density: 4.2 g/cm3
! * space-group type: No. 123
! * uncorrected energy: -16.4 eV/cell

=====

! W2Se, optimized geometry, DFT PBE-GGA; values from VASP
&SYSTEM
  ibrav = 0, nat = 3, ntyp = 2
/
ATOMIC_SPECIES
W 183.84 W.upf
Se 78.96 Se.upf
ATOMIC_POSITIONS angstrom
W -0.720 -2.292 0.829
W -1.478 -4.704 1.702
Se 0.000 0.000 0.000
CELL_PARAMETERS angstrom
-3.121 -2.422 2.484
0.924 -4.574 0.047
1.828 4.140 1.141
! * DOS(E_F): 1.63 states/eV/f.u.
! * density: 15.0 g/cm3
! * polymorph energy (0 for the lowest one): 556 meV/atom
! * space-group type: No. 71
! * uncorrected energy: -27.6 eV/cell